First-principles (GGA+U) data for a relaxed structure of Ca3Cr5O12, as listed in Alexandria via LeMat-Bulk.

Cell lengths 10.8252, 10.8252, 10.8252 Å; angles 109.47, 109.47, 109.47 degrees
Positions (direct):
Ca: 0.1250 0.2500 0.3750
Ca: 0.1250 0.3750 0.7500
Ca: 0.2500 0.3750 0.1250
Ca: 0.2500 0.8750 0.6250
Ca: 0.3750 0.1250 0.2500
Ca: 0.3750 0.7500 0.1250
Ca: 0.6250 0.2500 0.8750
Ca: 0.6250 0.8750 0.7500
Ca: 0.7500 0.1250 0.3750
Ca: 0.7500 0.6250 0.8750
Ca: 0.8750 0.6250 0.2500
Ca: 0.8750 0.7500 0.6250
Cr: 0.0000 0.0000 0.0000
Cr: 0.0000 0.0000 0.5000
Cr: 0.0000 0.5000 0.0000
Cr: 0.0000 0.5000 0.5000
Cr: 0.1250 0.7500 0.8750
Cr: 0.1250 0.8750 0.2500
Cr: 0.2500 0.1250 0.8750
Cr: 0.2500 0.6250 0.3750
Cr: 0.3750 0.2500 0.6250
Cr: 0.3750 0.6250 0.7500
Cr: 0.5000 0.0000 0.0000
Cr: 0.5000 0.0000 0.5000
Cr: 0.5000 0.5000 0.0000
Cr: 0.5000 0.5000 0.5000
Cr: 0.6250 0.3750 0.2500
Cr: 0.6250 0.7500 0.3750
Cr: 0.7500 0.3750 0.6250
Cr: 0.7500 0.8750 0.1250
Cr: 0.8750 0.1250 0.7500
Cr: 0.8750 0.2500 0.1250
O: 0.0185 0.2012 0.1192
O: 0.0185 0.3172 0.8993
O: 0.0821 0.7012 0.6828
O: 0.0821 0.8808 0.3993
O: 0.1007 0.6192 0.4179
O: 0.1007 0.9815 0.6828
O: 0.1192 0.0185 0.2012
O: 0.1192 0.6007 0.9179
O: 0.1828 0.2012 0.5821
O: 0.1828 0.4815 0.6007
O: 0.2012 0.1192 0.0185
O: 0.2012 0.5821 0.1828
O: 0.2988 0.3172 0.9179
O: 0.2988 0.4815 0.3808
O: 0.3172 0.8993 0.0185
O: 0.3172 0.9179 0.2988
O: 0.3808 0.2988 0.4815
O: 0.3808 0.5821 0.8993
O: 0.3993 0.0821 0.8808
O: 0.3993 0.8172 0.5185
O: 0.4179 0.1007 0.6192
O: 0.4179 0.8172 0.7988
O: 0.4815 0.3808 0.2988
O: 0.4815 0.6007 0.1828
O: 0.5185 0.3993 0.8172
O: 0.5185 0.6192 0.7012
O: 0.5821 0.1828 0.2012
O: 0.5821 0.8993 0.3808
O: 0.6007 0.1828 0.4815
O: 0.6007 0.9179 0.1192
O: 0.6192 0.4179 0.1007
O: 0.6192 0.7012 0.5185
O: 0.6828 0.0821 0.7012
O: 0.6828 0.1007 0.9815
O: 0.7012 0.5185 0.6192
O: 0.7012 0.6828 0.0821
O: 0.7988 0.4179 0.8172
O: 0.7988 0.8808 0.9815
O: 0.8172 0.5185 0.3993
O: 0.8172 0.7988 0.4179
O: 0.8808 0.3993 0.0821
O: 0.8808 0.9815 0.7988
O: 0.8993 0.0185 0.3172
O: 0.8993 0.3808 0.5821
O: 0.9179 0.1192 0.6007
O: 0.9179 0.2988 0.3172
O: 0.9815 0.6828 0.1007
O: 0.9815 0.7988 0.8808

Results
E   -7.32 eV/atom